Here is a relaxed NiB crystal from OQMD. Energies are from PBE.

The structure in extended XYZ format:
```
2
Lattice="1.341 -2.077 -1.570 -0.818 -2.799 0.273 -1.422 -1.329 -2.187" Properties=species:S:1:pos:R:3 pbc="T T T"
Ni -0.450 -3.102 -1.742
B 0.000 0.000 0.000
```

SG: Fm-3m (225)
Total moment (μB per atom): 0.0001
Electronic total energy (eV/atom): -5.820
Calculated volume (Å³/atom): 8.88

Here is a relaxed HoTmGe2Pt4 crystal from OQMD. Energies are from PBE.

The structure in extended XYZ format:
```
8
Lattice="4.362 0.000 0.000 -2.181 3.778 0.000 0.000 0.000 9.059" Properties=species:S:1:pos:R:3 pbc="T T T"
Pt 2.181 1.259 7.563
Pt 0.000 0.000 6.004
Pt 2.181 1.259 1.496
Pt 0.000 0.000 3.055
Ge 0.000 2.518 2.271
Ge 0.000 2.518 6.788
Tm 2.181 1.259 4.529
Ho 0.000 0.000 0.000
```

SG: P-6m2 (187)
Total moment (μB per atom): 0.0001
Electronic total energy (eV/atom): -6.304
Calculated volume (Å³/atom): 18.66

Here is a relaxed AcThHg crystal from OQMD. Energies are from PBE.

The structure in extended XYZ format:
```
3
Lattice="0.000 3.805 3.805 3.805 0.000 3.805 3.805 3.805 0.000" Properties=species:S:1:pos:R:3 pbc="T T T"
Ac 1.902 1.902 1.902
Th 5.707 5.707 5.707
Hg 0.000 0.000 0.000
```

SG: F-43m (216)
Total moment (μB per atom): 0.1223
Electronic total energy (eV/atom): -3.810
Calculated volume (Å³/atom): 36.71

Here is a relaxed TePPtO crystal from OQMD. Energies are from PBE.

The structure in extended XYZ format:
```
8
Lattice="-2.611 0.412 2.862 -2.005 -3.036 -1.392 4.652 -5.373 5.017" Properties=species:S:1:pos:R:3 pbc="T T T"
Pt -0.133 -3.137 4.307
Pt 0.170 -4.860 2.180
P 1.972 -4.267 3.739
P -1.936 -3.730 2.747
Te 0.506 -6.551 5.381
Te -0.470 -1.446 1.105
O -2.156 -2.174 -0.329
O -2.459 -0.450 1.798
```

SG: P4/nmm (129)
Total moment (μB per atom): 0.0012
Electronic total energy (eV/atom): -4.967
Calculated volume (Å³/atom): 16.50

Here is a relaxed NaUCd crystal from OQMD. Energies are from PBE.

The structure in extended XYZ format:
```
3
Lattice="-0.693 0.089 4.926 -4.573 -0.558 1.879 -1.203 -4.178 2.418" Properties=species:S:1:pos:R:3 pbc="T T T"
Cd -1.617 -1.162 2.306
Na 0.000 0.000 0.000
U -4.852 -3.486 6.918
```

SG: F-43m (216)
Total moment (μB per atom): 1.3196
Electronic total energy (eV/atom): -3.259
Calculated volume (Å³/atom): 29.03

Here is a relaxed Mg2Nb crystal from OQMD. Energies are from PBE.

The structure in extended XYZ format:
```
3
Lattice="1.154 -3.916 -2.375 -2.579 -3.922 0.518 -2.740 -1.509 -3.539" Properties=species:S:1:pos:R:3 pbc="T T T"
Nb 0.000 0.000 0.000
Mg -1.041 -2.337 -1.349
Mg -3.124 -7.011 -4.047
```

SG: Fm-3m (225)
Total moment (μB per atom): 0.2176
Electronic total energy (eV/atom): -3.283
Calculated volume (Å³/atom): 24.83